Entry 1:
# RhPb2Br, PBEsol geometry, DFT SCAN
# Formation energy without anion corrections   -0.170 eV/atom
data_RhPb2Br
_symmetry_space_group_name_H-M 'P 1'
_symmetry_Int_Tables_number 1
_cell_length_a 3.890
_cell_length_b 3.890
_cell_length_c 8.005
_cell_angle_alpha 103.85
_cell_angle_beta 103.85
_cell_angle_gamma 60.11
loop_
_symmetry_equiv_pos_as_xyz
'x,y,z'
loop_
_atom_site_label
_atom_site_type_symbol
_atom_site_fract_x
_atom_site_fract_y
_atom_site_fract_z
Rh1 Rh 0.000 0.000 0.000
Pb1 Pb 0.269 0.269 0.803
Pb2 Pb 0.731 0.731 0.197
Br1 Br 0.500 0.500 0.500

Entry 2:
# CdAu2Cl, PBEsol geometry, DFT SCAN
# Formation energy without anion corrections   -0.131 eV/atom
data_CdAu2Cl
_symmetry_space_group_name_H-M 'P 1'
_symmetry_Int_Tables_number 1
_cell_length_a 3.840
_cell_length_b 3.840
_cell_length_c 5.252
_cell_angle_alpha 90.00
_cell_angle_beta 90.00
_cell_angle_gamma 90.00
loop_
_symmetry_equiv_pos_as_xyz
'x,y,z'
loop_
_atom_site_label
_atom_site_type_symbol
_atom_site_fract_x
_atom_site_fract_y
_atom_site_fract_z
Cd1 Cd 0.000 0.000 0.000
Au1 Au 0.000 0.500 0.500
Au2 Au 0.500 0.000 0.500
Cl1 Cl 0.500 0.500 0.000

Entry 3:
# CsCoP2Cl, PBEsol geometry, DFT SCAN
# Formation energy without anion corrections   1.827 eV/atom
data_CsCoP2Cl
_symmetry_space_group_name_H-M 'P 1'
_symmetry_Int_Tables_number 1
_cell_length_a 5.404
_cell_length_b 5.404
_cell_length_c 5.835
_cell_angle_alpha 90.00
_cell_angle_beta 90.00
_cell_angle_gamma 90.00
loop_
_symmetry_equiv_pos_as_xyz
'x,y,z'
loop_
_atom_site_label
_atom_site_type_symbol
_atom_site_fract_x
_atom_site_fract_y
_atom_site_fract_z
Cs1 Cs 0.000 0.000 0.000
Co1 Co 0.500 0.500 0.500
P1 P 0.000 0.500 0.000
P2 P 0.500 0.000 0.000
Cl1 Cl 0.000 0.000 0.500

Entry 4:
# Sr2CaIr, PBEsol geometry, DFT SCAN
# Calculated formation energy   -0.13 eV/atom
data_Sr2CaIr
_symmetry_space_group_name_H-M 'P 1'
_symmetry_Int_Tables_number 1
_cell_length_a 4.195
_cell_length_b 6.885
_cell_length_c 6.885
_cell_angle_alpha 51.18
_cell_angle_beta 90.00
_cell_angle_gamma 90.00
loop_
_symmetry_equiv_pos_as_xyz
'x,y,z'
loop_
_atom_site_label
_atom_site_type_symbol
_atom_site_fract_x
_atom_site_fract_y
_atom_site_fract_z
Sr1 Sr 0.000 0.000 0.000
Sr2 Sr 0.500 0.341 0.341
Ca1 Ca 0.000 0.701 0.701
Ir1 Ir 0.500 0.842 0.842

Entry 5:
# KScCu2, PBEsol geometry, DFT SCAN
# Calculated formation energy   0.41 eV/atom
data_KScCu2
_symmetry_space_group_name_H-M 'P 1'
_symmetry_Int_Tables_number 1
_cell_length_a 6.012
_cell_length_b 6.012
_cell_length_c 6.012
_cell_angle_alpha 151.22
_cell_angle_beta 130.51
_cell_angle_gamma 58.27
loop_
_symmetry_equiv_pos_as_xyz
'x,y,z'
loop_
_atom_site_label
_atom_site_type_symbol
_atom_site_fract_x
_atom_site_fract_y
_atom_site_fract_z
K1 K 0.000 0.000 0.000
Sc1 Sc 0.305 0.805 0.500
Cu1 Cu 0.541 0.541 0.000
Cu2 Cu 0.726 0.226 0.500

Entry 6:
# FeNiN2, PBEsol geometry, DFT SCAN
# Formation energy without anion corrections   0.054 eV/atom
data_FeNiN2
_symmetry_space_group_name_H-M 'P 1'
_symmetry_Int_Tables_number 1
_cell_length_a 5.135
_cell_length_b 5.135
_cell_length_c 5.135
_cell_angle_alpha 131.14
_cell_angle_beta 131.14
_cell_angle_gamma 71.59
loop_
_symmetry_equiv_pos_as_xyz
'x,y,z'
loop_
_atom_site_label
_atom_site_type_symbol
_atom_site_fract_x
_atom_site_fract_y
_atom_site_fract_z
Fe1 Fe 0.000 0.000 0.000
Fe2 Fe 0.750 0.250 0.500
Ni1 Ni 0.250 0.750 0.500
Ni2 Ni 0.500 0.500 0.000
N1 N 0.104 0.625 0.979
N2 N 0.375 0.354 0.479
N3 N 0.646 0.125 0.021
N4 N 0.875 0.896 0.521

What did we get for size of the total moment? Answer: 0.00, 0.00, 0.88, 0.00, 0.00, 0.00 μB/atom, in the order shown.
What did we get for V? Answer: 100.93, 77.44, 170.40, 154.96, 78.99, 37.58 Å³/f.u., in the order shown.